No. 1
A plane-wave DFT calculation with GGA-PBE was carried out for Li2U2O7 after structural relaxation.

Cell: 5.2761 5.3487 5.2761 Å, 98.12 96.64 81.88°
Element x y z (fractional)
Li: 0.3070 0.5000 0.3070
Li: 0.6930 0.5000 0.6930
U: 0.7304 0.9849 0.2696
U: 0.2696 0.0151 0.7304
O: 0.4630 0.2352 0.5370
O: 0.9580 0.2357 0.5428
O: 0.0420 0.7643 0.4572
O: 0.0000 0.0000 0.0000
O: 0.5370 0.7648 0.4630
O: 0.4572 0.2357 0.0420
O: 0.5428 0.7643 0.9580

total DFT energy (no corrections)	-0.3058	hartree per atom
M_tot	0.00	μB per cell
ρ	6.882	Mg/m³
calculated volume	13.203	A^3/atom

---

No. 2
A plane-wave DFT calculation with GGA-PBE was carried out for Li2UO3 after structural relaxation.

Cell: 5.4104 5.4104 6.2548 Å, 64.37 64.37 60.00°
Last column: magnetic moment on the atom in μB.
Element x y z (fractional)
U: 0.0000 0.0000 0.0000  2.02
U: 0.5000 0.5000 0.5000  2.02
O: 0.5804 0.2500 0.2500  -0.04
O: 0.7500 0.0804 0.7500  -0.04
O: 0.9196 0.5804 0.2500  -0.04
O: 0.4196 0.7500 0.7500  -0.04
O: 0.2500 0.9196 0.2500  -0.04
O: 0.0804 0.4196 0.7500  -0.04
Li: 0.8189 0.8189 0.5434  0.01
Li: 0.6811 0.6811 0.9566  0.01
Li: 0.3189 0.3189 0.0434  0.01
Li: 0.1811 0.1811 0.4566  0.01

total DFT energy (no corrections)	-0.2749	hartree per atom
M_tot	4.00	μB per cell
ρ	7.251	Mg/m³
calculated volume	11.448	A^3/atom

---

No. 3
A plane-wave DFT calculation with GGA-PBE was carried out for LiUO3 after structural relaxation.

Cell: 5.0071 5.0071 3.4673 Å, 90.00 90.00 107.91°
Last column: magnetic moment on the atom in μB.
Element x y z (fractional)
O: 0.2282 0.3381 0.0000  -0.04
O: 0.6982 0.3018 0.5000  -0.03
O: 0.6619 0.7718 0.0000  -0.04
U: 0.4547 0.5453 0.5000  1.07
Li: 0.8170 0.1830 0.0000  0.00

total DFT energy (no corrections)	-0.3061	hartree per atom
M_tot	1.00	μB per cell
ρ	5.881	Mg/m³
calculated volume	16.544	A^3/atom

---

no.,ΔE_f (raw) (meV/atom)
1,-2766.6
2,-2480.9
3,-2712.7